Below is crystalline Ho2MnZnC at its relaxed geometry, with properties calculated at the PBE level.

abc: 4.9357 4.9357 3.7452
angles: 90.00 90.00 90.00
Fractional positions:
Ho 0.0000 0.5000 0.0000
Ho 0.5000 0.0000 0.0000
Mn 0.0000 0.0000 0.5000
Zn 0.5000 0.5000 0.5000
C 0.0000 0.0000 0.0000

Summary:
Space group: P4/mmm, No. 123
Calculated formation energy: -0.289 eV/atom
Mass density: 8.4 g cm⁻³
Volume: 18.25 A^3/atom

=====

Below is crystalline CdNiRu2 at its relaxed geometry, with properties calculated at the PBE level.

abc: 4.3712 4.3712 4.3712
angles: 60.00 60.00 60.00
Fractional positions:
Cd 0.0000 0.0000 0.0000
Ni 0.7500 0.7500 0.7500
Ru 0.2500 0.2500 0.2500
Ru 0.5000 0.5000 0.5000

Summary:
Space group: F-43m, No. 216
Calculated formation energy: 0.452 eV/atom
Mass density: 10.5 g cm⁻³
Volume: 14.76 A^3/atom

=====

Below is crystalline ThZnPd4 at its relaxed geometry, with properties calculated at the PBE level.

abc: 4.0431 4.0431 7.2818
angles: 90.00 90.00 90.00
Fractional positions:
Th 0.0000 0.0000 0.0000
Zn 0.5000 0.5000 0.5000
Pd 0.0000 0.5000 0.2804
Pd 0.0000 0.5000 0.7196
Pd 0.5000 0.0000 0.2804
Pd 0.5000 0.0000 0.7196

Summary:
Space group: P4/mmm, No. 123
Calculated formation energy: -0.533 eV/atom
Mass density: 10.1 g cm⁻³
Volume: 19.84 A^3/atom

=====

Below is crystalline ZnCrOs2 at its relaxed geometry, with properties calculated at the PBE level.

abc: 5.1767 5.1767 5.1767
angles: 148.44 128.52 61.65
Fractional positions:
Zn 0.0000 0.0000 0.0000
Cr 0.5000 0.5000 0.0000
Os 0.2734 0.7734 0.5000
Os 0.7266 0.2266 0.5000

Summary:
Space group: Immm, No. 71
Calculated formation energy: 0.252 eV/atom
Mass density: 14.7 g cm⁻³
Volume: 14.07 A^3/atom